[1]
Density functional theory data (PBE-GGA) for crystalline NdY14Al at its relaxed geometry.

a = 10.8404 Å, b = 6.9491 Å, c = 6.9491 Å
α = 74.94°, β = 90.00°, γ = 90.00°
Sites, in units of the cell vectors:
Nd  0.0000  0.0000  0.0000
Y  0.0000  0.0608  0.4710
Y  0.0000  0.4710  0.0608
Y  0.2186  0.7632  0.7632
Y  0.2373  0.2800  0.6888
Y  0.2373  0.6888  0.2800
Y  0.2761  0.2024  0.2024
Y  0.5000  0.4255  0.4255
Y  0.5000  0.5029  0.9033
Y  0.5000  0.9033  0.5029
Y  0.5000  0.9725  0.9725
Y  0.7239  0.2024  0.2024
Y  0.7627  0.2800  0.6888
Y  0.7627  0.6888  0.2800
Y  0.7814  0.7632  0.7632
Al  0.0000  0.5500  0.5500

Summary:
electronic total energy	-0.227	Ha/atom
symmetry	Amm2, No. 38
ΔE_f	0.00	eV per atom
V	505.5	Å³/cell
M_tot	0.0	μB per cell

[2]
Density functional theory data (PBE-GGA) for crystalline NdYAl3 at its relaxed geometry.

a = 13.9817 Å, b = 13.9817 Å, c = 4.5575 Å
α = 90.00°, β = 90.00°, γ = 164.70°
Sites, in units of the cell vectors:
Nd  0.0727  0.9273  0.7500
Nd  0.9273  0.0727  0.2500
Y  0.2105  0.7895  0.2500
Y  0.7895  0.2105  0.7500
Al  0.3269  0.6731  0.2500
Al  0.3796  0.6204  0.7500
Al  0.4758  0.5242  0.7500
Al  0.5242  0.4758  0.2500
Al  0.6204  0.3796  0.2500
Al  0.6731  0.3269  0.7500

Summary:
electronic total energy	-0.182	Ha/atom
symmetry	Cmcm, No. 63
ΔE_f	-0.46	eV per atom
V	235.1	Å³/cell
M_tot	0.8	μB per cell

[3]
Density functional theory data (PBE-GGA) for crystalline Nd5YAl6 at its relaxed geometry.

a = 9.0801 Å, b = 9.0801 Å, c = 9.0801 Å
α = 146.43°, β = 131.82°, γ = 60.00°
Sites, in units of the cell vectors:
Nd  0.0000  0.0000  0.0000
Nd  0.1640  0.6640  0.5000
Nd  0.3283  0.3283  0.0000
Nd  0.6717  0.6717  0.0000
Nd  0.8360  0.3360  0.5000
Y  0.5000  0.0000  0.5000
Al  0.0939  0.8365  0.2574
Al  0.2646  0.5000  0.7646
Al  0.4209  0.1635  0.2574
Al  0.5791  0.8365  0.7426
Al  0.7354  0.5000  0.2354
Al  0.9061  0.1635  0.7426

Summary:
electronic total energy	-0.175	Ha/atom
symmetry	Immm, No. 71
ΔE_f	-0.36	eV per atom
V	305.7	Å³/cell
M_tot	0.0	μB per cell